ZrCoO3: optimized geometry, GGA+U.

Results
Symmetry   Pm-3m
Energy   -7.38 eV per atom

Unit cell a=4.0993 b=4.0993 c=4.0993 alpha=90.00 beta=90.00 gamma=90.00
Sites, in units of the cell vectors:
Zr  0.0000  0.0000  0.0000
Co  0.5000  0.5000  0.5000
O  0.0000  0.0000  0.5000
O  0.0000  0.5000  0.0000
O  0.5000  0.0000  0.0000